Record 1
Below is a relaxed structure of GaPd2Pt8, with properties calculated at the PBE level.

Summary:
SG = C2/m (12)
ΔE_f = 152 meV per atom
Polymorph energy (0 for the lowest one) = 0.328 eV per atom

a = 6.764 Å, b = 6.764 Å, c = 5.129 Å
α = 94.35°, β = 94.35°, γ = 58.04°
Fractional coordinates of all 11 atoms:
Ga 0.000 0.000 0.000
Pd 0.201 0.201 0.514
Pd 0.799 0.799 0.486
Pt 0.196 0.598 0.798
Pt 0.223 0.223 0.011
Pt 0.402 0.804 0.202
Pt 0.412 0.412 0.321
Pt 0.588 0.588 0.679
Pt 0.598 0.196 0.798
Pt 0.777 0.777 0.989
Pt 0.804 0.402 0.202



Record 2
Below is a relaxed structure of PrZrSe, with properties calculated at the PBE level.

Summary:
Uncorrected formation energy = -3.0 eV per formula unit
SG = P4/nmm (129)

a = 4.173 Å, b = 4.173 Å, c = 8.315 Å
α = 90.00°, β = 90.00°, γ = 90.00°
Fractional coordinates of all 6 atoms:
Pr 0.250 0.250 0.141
Pr 0.750 0.750 0.859
Zr 0.250 0.750 0.500
Zr 0.750 0.250 0.500
Se 0.250 0.250 0.746
Se 0.750 0.750 0.254



Record 3
Below is a relaxed structure of LiHfSn, with properties calculated at the PBE level.

Summary:
SG = C2/m (12)
ΔE_f = -211 meV per atom

a = 5.205 Å, b = 5.205 Å, c = 8.906 Å
α = 113.42°, β = 113.42°, γ = 35.61°
Fractional coordinates of all 6 atoms:
Li 0.157 0.157 0.077
Li 0.843 0.843 0.923
Hf 0.169 0.169 0.578
Hf 0.831 0.831 0.422
Sn 0.496 0.496 0.247
Sn 0.504 0.504 0.753



Record 4
Below is a relaxed structure of PrSn2Hg2, with properties calculated at the PBE level.

Summary:
SG = P6_3/mmc (194)
ΔE_f = -59 meV per atom
Polymorph energy (0 for the lowest one) = 0.300 eV per atom

a = 5.239 Å, b = 5.239 Å, c = 12.756 Å
α = 90.00°, β = 90.00°, γ = 120.00°
Fractional coordinates of all 10 atoms:
Pr 0.000 0.000 0.250
Pr 0.000 0.000 0.750
Sn 0.000 0.000 0.000
Sn 0.000 0.000 0.500
Sn 0.333 0.667 0.250
Sn 0.667 0.333 0.750
Hg 0.333 0.667 0.607
Hg 0.333 0.667 0.893
Hg 0.667 0.333 0.107
Hg 0.667 0.333 0.393